[1]
Material: AlNiPdAu
Method: DFT, GGA-PBE
State: relaxed

Cell and atoms, written as POSCAR:
```
AlNiPdAu
1.0
-3.141 -0.124 3.019
-0.683 3.448 2.577
-3.595 2.413 -0.496
Ni Al Au Pd
1 1 1 1
Cartesian
-5.564 4.303 3.825
0.000 0.000 0.000
-3.709 2.869 2.550
-1.855 1.434 1.275
```

Computed properties:
The calculation puts the raw total energy at -0.35366 Ry/atom.



[2]
Material: Zr3Al3NiPdAu
Method: DFT, GGA-PBE
State: relaxed

Cell and atoms, written as POSCAR:
```
Zr3Al3NiPdAu
1.0
7.073 0.000 0.000
-3.537 6.126 0.000
0.000 0.000 3.673
Pd Zr Al Au Ni
1 3 3 1 1
Cartesian
0.000 4.084 0.000
-2.100 4.418 1.837
0.761 2.098 1.837
1.339 5.736 1.837
5.241 2.039 0.000
2.687 3.520 0.000
2.682 0.567 0.000
0.000 0.000 0.000
3.537 2.042 1.837
```

Computed properties:
The calculation puts the raw total energy at -0.46523 Ry/atom.